No. 1
! CsMnPS2, optimized geometry, DFT GGA-PBE; values from VASP
! Offset from the most stable computed form   8.98 eV per formula unit
! Space group   P4/mmm
! E_form (uncorrected)   1.69 eV/atom
&SYSTEM
  ibrav = 0, nat = 5, ntyp = 4
/
ATOMIC_SPECIES
Cs 132.91 Cs.upf
Mn 54.94 Mn.upf
P 30.97 P.upf
S 32.06 S.upf
ATOMIC_POSITIONS crystal
Cs 0.000 0.000 0.000
Mn 0.500 0.500 0.500
P 0.000 0.000 0.500
S 0.000 0.500 0.000
S 0.500 0.000 0.000
CELL_PARAMETERS angstrom
5.357 0.000 0.000
0.000 5.357 0.000
0.000 0.000 5.765

---

No. 2
! CsMnPS2, optimized geometry, DFT GGA-PBE; values from VASP
! Offset from the most stable computed form   0.00 eV per formula unit
! Space group   P4/mmm
! E_form (uncorrected)   -0.11 eV/atom
&SYSTEM
  ibrav = 0, nat = 5, ntyp = 4
/
ATOMIC_SPECIES
Cs 132.91 Cs.upf
Mn 54.94 Mn.upf
P 30.97 P.upf
S 32.06 S.upf
ATOMIC_POSITIONS crystal
Cs 0.000 0.000 0.000
Mn 0.500 0.500 0.500
P 0.500 0.500 0.000
S 0.000 0.500 0.500
S 0.500 0.000 0.500
CELL_PARAMETERS angstrom
4.947 0.000 0.000
0.000 4.947 0.000
0.000 0.000 4.627

---

No. 3
! Cs2PaMnS6, optimized geometry, DFT GGA-PBE; values from VASP
! Space group   P-3m1
! E_form (uncorrected)   -1.09 eV/atom
&SYSTEM
  ibrav = 0, nat = 10, ntyp = 4
/
ATOMIC_SPECIES
Cs 132.91 Cs.upf
Pa 231.04 Pa.upf
Mn 54.94 Mn.upf
S 32.06 S.upf
ATOMIC_POSITIONS crystal
Cs 0.333 0.667 0.211
Cs 0.667 0.333 0.789
Pa 0.000 0.000 0.500
Mn 0.000 0.000 0.000
S 0.145 0.290 0.784
S 0.145 0.855 0.784
S 0.290 0.145 0.216
S 0.710 0.855 0.784
S 0.855 0.145 0.216
S 0.855 0.710 0.216
CELL_PARAMETERS angstrom
7.637 0.000 0.000
-3.818 6.614 0.000
0.000 0.000 6.355

---

No. 4
! Cs2PaMnS5, optimized geometry, DFT GGA-PBE; values from VASP
! Space group   Cmc2_1
! E_form (uncorrected)   -1.21 eV/atom
&SYSTEM
  ibrav = 0, nat = 18, ntyp = 4
/
ATOMIC_SPECIES
Cs 132.91 Cs.upf
Pa 231.04 Pa.upf
Mn 54.94 Mn.upf
S 32.06 S.upf
ATOMIC_POSITIONS crystal
Cs 0.124 0.876 0.500
Cs 0.125 0.875 0.143
Cs 0.875 0.125 0.643
Cs 0.876 0.124 0.000
Pa 0.201 0.799 0.835
Pa 0.799 0.201 0.335
Mn 0.424 0.576 0.234
Mn 0.576 0.424 0.734
S 0.067 0.933 0.805
S 0.306 0.694 0.450
S 0.309 0.691 0.213
S 0.322 0.678 0.823
S 0.488 0.512 0.119
S 0.512 0.488 0.619
S 0.678 0.322 0.323
S 0.691 0.309 0.713
S 0.694 0.306 0.950
S 0.933 0.067 0.305
CELL_PARAMETERS angstrom
2.081 -10.141 0.000
2.081 10.141 0.000
0.000 0.000 14.639

---

No. 5
! Cs2PaMnTe4, optimized geometry, DFT GGA-PBE; values from VASP
! Space group   I-42m
! E_form (uncorrected)   -0.68 eV/atom
&SYSTEM
  ibrav = 0, nat = 8, ntyp = 4
/
ATOMIC_SPECIES
Cs 132.91 Cs.upf
Pa 231.04 Pa.upf
Mn 54.94 Mn.upf
Te 127.60 Te.upf
ATOMIC_POSITIONS crystal
Cs 0.000 0.500 0.500
Cs 0.500 0.000 0.500
Pa 0.000 0.000 0.000
Mn 0.500 0.500 0.000
Te 0.108 0.108 0.677
Te 0.431 0.431 0.323
Te 0.569 0.892 0.000
Te 0.892 0.569 0.000
CELL_PARAMETERS angstrom
-4.691 4.691 3.822
4.691 -4.691 3.822
4.691 4.691 -3.822

---

No. 6
! Cs3PaMn2Te6, optimized geometry, DFT GGA-PBE; values from VASP
! Space group   C2/m
! E_form (uncorrected)   -0.69 eV/atom
&SYSTEM
  ibrav = 0, nat = 12, ntyp = 4
/
ATOMIC_SPECIES
Cs 132.91 Cs.upf
Pa 231.04 Pa.upf
Mn 54.94 Mn.upf
Te 127.60 Te.upf
ATOMIC_POSITIONS crystal
Cs 0.000 0.000 0.000
Cs 0.334 0.666 0.000
Cs 0.666 0.334 0.000
Pa 0.500 0.500 0.500
Mn 0.167 0.833 0.500
Mn 0.833 0.167 0.500
Te 0.100 0.440 0.321
Te 0.219 0.219 0.679
Te 0.440 0.100 0.321
Te 0.560 0.900 0.679
Te 0.781 0.781 0.321
Te 0.900 0.560 0.679
CELL_PARAMETERS angstrom
3.820 -6.610 0.000
3.820 6.610 0.000
-2.546 0.000 8.854

---

No. 7
! CsPaMnTe4, optimized geometry, DFT GGA-PBE; values from VASP
! Space group   P2_1/m
! E_form (uncorrected)   -0.70 eV/atom
&SYSTEM
  ibrav = 0, nat = 14, ntyp = 4
/
ATOMIC_SPECIES
Cs 132.91 Cs.upf
Pa 231.04 Pa.upf
Mn 54.94 Mn.upf
Te 127.60 Te.upf
ATOMIC_POSITIONS crystal
Cs 0.229 0.250 0.045
Cs 0.771 0.750 0.955
Pa 0.236 0.250 0.551
Pa 0.764 0.750 0.449
Mn 0.236 0.750 0.345
Mn 0.764 0.250 0.655
Te 0.031 0.514 0.694
Te 0.031 0.986 0.694
Te 0.435 0.750 0.179
Te 0.461 0.750 0.593
Te 0.539 0.250 0.407
Te 0.565 0.250 0.821
Te 0.969 0.014 0.306
Te 0.969 0.486 0.306
CELL_PARAMETERS angstrom
7.211 0.000 0.000
0.000 7.221 0.000
-3.576 0.000 10.021

---

No. 8
! CsPaMn2Te4, optimized geometry, DFT GGA-PBE; values from VASP
! Space group   I222
! E_form (uncorrected)   -0.23 eV/atom
&SYSTEM
  ibrav = 0, nat = 8, ntyp = 4
/
ATOMIC_SPECIES
Cs 132.91 Cs.upf
Pa 231.04 Pa.upf
Mn 54.94 Mn.upf
Te 127.60 Te.upf
ATOMIC_POSITIONS crystal
Cs 0.000 0.000 0.000
Pa 0.500 0.500 0.000
Mn 0.426 0.926 0.500
Mn 0.574 0.074 0.500
Te 0.161 0.104 0.565
Te 0.461 0.896 0.058
Te 0.539 0.596 0.435
Te 0.839 0.404 0.942
CELL_PARAMETERS angstrom
-2.722 4.936 6.550
2.722 -4.936 6.550
2.722 4.936 -6.550

---

No. 9
! Cs2Pa2MnTe6, optimized geometry, DFT GGA-PBE; values from VASP
! Space group   C2/m
! E_form (uncorrected)   -0.80 eV/atom
&SYSTEM
  ibrav = 0, nat = 11, ntyp = 4
/
ATOMIC_SPECIES
Cs 132.91 Cs.upf
Pa 231.04 Pa.upf
Mn 54.94 Mn.upf
Te 127.60 Te.upf
ATOMIC_POSITIONS crystal
Cs 0.169 0.831 0.000
Cs 0.831 0.169 0.000
Pa 0.333 0.667 0.500
Pa 0.667 0.333 0.500
Mn 0.000 0.000 0.500
Te 0.067 0.386 0.686
Te 0.258 0.258 0.316
Te 0.386 0.067 0.686
Te 0.614 0.933 0.314
Te 0.742 0.742 0.684
Te 0.933 0.614 0.314
CELL_PARAMETERS angstrom
3.789 -6.536 0.000
3.789 6.536 0.000
-2.608 0.000 9.238

---

No. 10
! Cs2PaMnTe5, optimized geometry, DFT GGA-PBE; values from VASP
! Space group   Cmc2_1
! E_form (uncorrected)   -0.74 eV/atom
&SYSTEM
  ibrav = 0, nat = 18, ntyp = 4
/
ATOMIC_SPECIES
Cs 132.91 Cs.upf
Pa 231.04 Pa.upf
Mn 54.94 Mn.upf
Te 127.60 Te.upf
ATOMIC_POSITIONS crystal
Cs 0.122 0.878 0.500
Cs 0.132 0.868 0.866
Cs 0.868 0.132 0.366
Cs 0.878 0.122 0.000
Pa 0.203 0.797 0.191
Pa 0.797 0.203 0.691
Mn 0.416 0.584 0.592
Mn 0.584 0.416 0.092
Te 0.068 0.932 0.176
Te 0.300 0.700 0.559
Te 0.306 0.694 0.816
Te 0.328 0.672 0.181
Te 0.486 0.514 0.472
Te 0.514 0.486 0.972
Te 0.672 0.328 0.681
Te 0.694 0.306 0.316
Te 0.700 0.300 0.059
Te 0.932 0.068 0.676
CELL_PARAMETERS angstrom
2.283 -11.440 0.000
2.283 11.440 0.000
0.000 0.000 15.868

---

No. 11
! CsMnPb3, optimized geometry, DFT GGA-PBE; values from VASP
! Offset from the most stable computed form   0.00 eV per formula unit
! Space group   Pm-3m
! ΔE_f   0.325 eV per atom
&SYSTEM
  ibrav = 0, nat = 5, ntyp = 3
/
ATOMIC_SPECIES
Cs 132.91 Cs.upf
Mn 54.94 Mn.upf
Pb 207.20 Pb.upf
ATOMIC_POSITIONS crystal
Cs 0.000 0.000 0.000
Mn 0.500 0.500 0.500
Pb 0.000 0.500 0.500
Pb 0.500 0.000 0.500
Pb 0.500 0.500 0.000
CELL_PARAMETERS angstrom
5.327 0.000 0.000
0.000 5.327 0.000
0.000 0.000 5.327

---

No. 12
! Cs3MnPb, optimized geometry, DFT GGA-PBE; values from VASP
! Space group   Pm-3m
! ΔE_f   0.676 eV per atom
&SYSTEM
  ibrav = 0, nat = 5, ntyp = 3
/
ATOMIC_SPECIES
Cs 132.91 Cs.upf
Mn 54.94 Mn.upf
Pb 207.20 Pb.upf
ATOMIC_POSITIONS crystal
Cs 0.000 0.000 0.500
Cs 0.000 0.500 0.000
Cs 0.500 0.000 0.000
Mn 0.500 0.500 0.500
Pb 0.000 0.000 0.000
CELL_PARAMETERS angstrom
7.480 0.000 0.000
0.000 7.480 0.000
0.000 0.000 7.480

---

No. 13
! CsMnPb3, optimized geometry, DFT GGA-PBE; values from VASP
! Offset from the most stable computed form   9.48 eV per formula unit
! Space group   Pm-3m
! ΔE_f   2.221 eV per atom
&SYSTEM
  ibrav = 0, nat = 5, ntyp = 3
/
ATOMIC_SPECIES
Cs 132.91 Cs.upf
Mn 54.94 Mn.upf
Pb 207.20 Pb.upf
ATOMIC_POSITIONS crystal
Cs 0.000 0.000 0.000
Mn 0.500 0.500 0.500
Pb 0.000 0.000 0.500
Pb 0.000 0.500 0.000
Pb 0.500 0.000 0.000
CELL_PARAMETERS angstrom
6.193 0.000 0.000
0.000 6.193 0.000
0.000 0.000 6.193

---

No. 14
! Cs2MnPbS4, optimized geometry, DFT GGA-PBE; values from VASP
! Space group   Fddd
! E_form (uncorrected)   -0.71 eV/atom
&SYSTEM
  ibrav = 0, nat = 16, ntyp = 4
/
ATOMIC_SPECIES
Cs 132.91 Cs.upf
Mn 54.94 Mn.upf
Pb 207.20 Pb.upf
S 32.06 S.upf
ATOMIC_POSITIONS crystal
Cs 0.054 0.054 0.696
Cs 0.304 0.304 0.946
Cs 0.696 0.696 0.054
Cs 0.946 0.946 0.304
Mn 0.375 0.375 0.375
Mn 0.625 0.625 0.625
Pb 0.125 0.125 0.125
Pb 0.875 0.875 0.875
S 0.035 0.605 0.555
S 0.305 0.555 0.605
S 0.395 0.965 0.695
S 0.445 0.695 0.965
S 0.555 0.305 0.035
S 0.605 0.035 0.305
S 0.695 0.445 0.395
S 0.965 0.395 0.445
CELL_PARAMETERS angstrom
0.000 6.574 12.612
3.435 0.000 12.612
3.435 6.574 0.000

---

No. 15
! CsTaMnPb2, optimized geometry, DFT GGA-PBE; values from VASP
! Space group   P4/mmm
! ΔE_f   2.525 eV per atom
&SYSTEM
  ibrav = 0, nat = 5, ntyp = 4
/
ATOMIC_SPECIES
Cs 132.91 Cs.upf
Ta 180.95 Ta.upf
Mn 54.94 Mn.upf
Pb 207.20 Pb.upf
ATOMIC_POSITIONS crystal
Cs 0.000 0.000 0.000
Ta 0.500 0.500 0.500
Mn 0.000 0.000 0.500
Pb 0.000 0.500 0.000
Pb 0.500 0.000 0.000
CELL_PARAMETERS angstrom
6.085 0.000 0.000
0.000 6.085 0.000
0.000 0.000 5.020

---

No. 16
! CsMnTl2Pb, optimized geometry, DFT GGA-PBE; values from VASP
! Space group   P4/mmm
! ΔE_f   1.419 eV per atom
&SYSTEM
  ibrav = 0, nat = 5, ntyp = 4
/
ATOMIC_SPECIES
Cs 132.91 Cs.upf
Mn 54.94 Mn.upf
Tl 204.38 Tl.upf
Pb 207.20 Pb.upf
ATOMIC_POSITIONS crystal
Cs 0.000 0.000 0.000
Mn 0.500 0.500 0.500
Tl 0.000 0.500 0.000
Tl 0.500 0.000 0.000
Pb 0.000 0.000 0.500
CELL_PARAMETERS angstrom
6.425 0.000 0.000
0.000 6.425 0.000
0.000 0.000 6.454

---

No. 17
! CsMn2PbW, optimized geometry, DFT GGA-PBE; values from VASP
! Space group   P4/mmm
! ΔE_f   1.588 eV per atom
&SYSTEM
  ibrav = 0, nat = 5, ntyp = 4
/
ATOMIC_SPECIES
Cs 132.91 Cs.upf
Mn 54.94 Mn.upf
Pb 207.20 Pb.upf
W 183.84 W.upf
ATOMIC_POSITIONS crystal
Cs 0.000 0.000 0.000
Mn 0.000 0.500 0.500
Mn 0.500 0.000 0.500
Pb 0.500 0.500 0.000
W 0.000 0.000 0.500
CELL_PARAMETERS angstrom
4.948 0.000 0.000
0.000 4.948 0.000
0.000 0.000 5.861

---

No. 18
! Cs3MnPd, optimized geometry, DFT GGA-PBE; values from VASP
! Space group   Pm-3m
! ΔE_f   0.631 eV per atom
&SYSTEM
  ibrav = 0, nat = 5, ntyp = 3
/
ATOMIC_SPECIES
Cs 132.91 Cs.upf
Mn 54.94 Mn.upf
Pd 106.42 Pd.upf
ATOMIC_POSITIONS crystal
Cs 0.000 0.000 0.500
Cs 0.000 0.500 0.000
Cs 0.500 0.000 0.000
Mn 0.500 0.500 0.500
Pd 0.000 0.000 0.000
CELL_PARAMETERS angstrom
6.722 0.000 0.000
0.000 6.722 0.000
0.000 0.000 6.722

---

No. 19
! CsMn2Pd, optimized geometry, DFT GGA-PBE; values from VASP
! Space group   Fm-3m
! ΔE_f   1.121 eV per atom
&SYSTEM
  ibrav = 0, nat = 4, ntyp = 3
/
ATOMIC_SPECIES
Cs 132.91 Cs.upf
Mn 54.94 Mn.upf
Pd 106.42 Pd.upf
ATOMIC_POSITIONS crystal
Cs 0.000 0.000 0.000
Mn 0.250 0.250 0.250
Mn 0.750 0.750 0.750
Pd 0.500 0.500 0.500
CELL_PARAMETERS angstrom
0.000 3.537 3.537
3.537 0.000 3.537
3.537 3.537 0.000

---

No. 20
! CsMnPd3, optimized geometry, DFT GGA-PBE; values from VASP
! Offset from the most stable computed form   0.00 eV per formula unit
! Space group   Pm-3m
! ΔE_f   0.434 eV per atom
&SYSTEM
  ibrav = 0, nat = 5, ntyp = 3
/
ATOMIC_SPECIES
Cs 132.91 Cs.upf
Mn 54.94 Mn.upf
Pd 106.42 Pd.upf
ATOMIC_POSITIONS crystal
Cs 0.000 0.000 0.000
Mn 0.500 0.500 0.500
Pd 0.000 0.500 0.500
Pd 0.500 0.000 0.500
Pd 0.500 0.500 0.000
CELL_PARAMETERS angstrom
4.949 0.000 0.000
0.000 4.949 0.000
0.000 0.000 4.949